{"formula": "BeTcBr2", "functional": "PBE-GGA", "state": "optimized geometry", "sg": "No. 12", "de_polymorph_ev_per_atom": 0.002, "formation_energy_uncorrected_ev_per_atom": 0.08, "n_ef_per_ev_cell": 2.14, "lattice": [[-1.713, 3.413, -7.801], [-1.621, 0.209, -8.531], [-3.397, 0.037, -0.593]], "species": ["Br", "Br", "Be", "Tc"], "frac_coords": [[0.124, 0.124, 0.974], [0.376, 0.376, 0.526], [0.250, 0.250, 0.250], [0.750, 0.750, 0.750]]}